No. 1
The following is a DFT calculation (GGA-PBE) of a relaxed structure of GdSn6.

Cell: 7.0040 7.0040 7.0040 Å, 109.47 109.47 109.47°
Closest atoms and distances in Å follow each position.
Positions (direct):
Gd: 0.0000 0.0000 0.0000  24 Sn 4.52
Sn: 0.2500 0.7500 0.5000  4 Sn 2.86
Sn: 0.5000 0.7500 0.2500  4 Sn 2.86
Sn: 0.2500 0.5000 0.7500  4 Sn 2.86
Sn: 0.7500 0.2500 0.5000  4 Sn 2.86
Sn: 0.5000 0.2500 0.7500  4 Sn 2.86
Sn: 0.7500 0.5000 0.2500  4 Sn 2.86

Values from the calculation:
Density of states at the Fermi level   10.702 states/eV/f.u.
Energy   -5.12 eV/atom
Calculated density   5.5 Mg/m³
Space group   Im-3m (229)

***

No. 2
The following is a DFT calculation (GGA-PBE) of a relaxed structure of SrGdSn2.

Cell: 3.5637 3.5637 9.2380 Å, 90.00 90.00 90.00°
Closest atoms and distances in Å follow each position.
Positions (direct):
Sr: 0.5000 0.5000 0.5000  8 Sn 3.50, 4 Sr 3.56
Gd: 0.5000 0.5000 0.0000  8 Sn 3.34, 4 Gd 3.56
Sn: 0.0000 0.0000 0.7629  4 Gd 3.34, 4 Sr 3.50, 4 Sn 3.56
Sn: 0.0000 0.0000 0.2371  4 Gd 3.34, 4 Sr 3.50, 4 Sn 3.56

Values from the calculation:
Density of states at the Fermi level   2.235 states/eV/f.u.
Energy   -6.58 eV/atom
Calculated density   6.8 Mg/m³
Space group   P4/mmm (123)

***

No. 3
The following is a DFT calculation (GGA-PBE) of a relaxed structure of SrGdSn2.

Cell: 3.9142 3.9142 9.9693 Å, 78.68 78.68 60.00°
Closest atoms and distances in Å follow each position.
Positions (direct):
Sr: 0.5000 0.5000 0.5000  6 Sn 3.40
Gd: 0.0000 0.0000 0.0000  6 Sn 3.24
Sn: 0.2538 0.2538 0.2385  3 Gd 3.24, 3 Sr 3.40
Sn: 0.7462 0.7462 0.7615  3 Gd 3.24, 3 Sr 3.40

Values from the calculation:
Density of states at the Fermi level   3.396 states/eV/f.u.
Energy   -6.40 eV/atom
Calculated density   6.2 Mg/m³
Space group   R-3m (166)

***

No. 4
The following is a DFT calculation (GGA-PBE) of a relaxed structure of SrGdSn2.

Cell: 4.4778 5.1424 5.1424 Å, 90.00 90.00 90.00°
Closest atoms and distances in Å follow each position.
Positions (direct):
Sr: 0.5000 0.0000 0.0000  8 Sn 3.41, 4 Gd 3.64
Gd: 0.5000 0.5000 0.5000  8 Sn 3.41, 4 Sr 3.64
Sn: 0.0000 0.0000 0.5000  4 Gd 3.41, 4 Sr 3.41, 4 Sn 3.64
Sn: 0.0000 0.5000 0.0000  4 Sr 3.41, 4 Gd 3.41, 4 Sn 3.64

Values from the calculation:
Density of states at the Fermi level   2.763 states/eV/f.u.
Energy   -6.51 eV/atom
Calculated density   6.8 Mg/m³
Space group   P4/mmm (123)

***

No. 5
The following is a DFT calculation (GGA-PBE) of a relaxed structure of SrGdTlSn.

Cell: 5.5703 5.5703 5.5703 Å, 60.00 60.00 60.00°
Closest atoms and distances in Å follow each position.
Positions (direct):
Sr: 0.5000 0.5000 0.5000  4 Tl 3.41, 4 Sn 3.41
Tl: 0.7500 0.7500 0.7500  4 Gd 3.41, 4 Sr 3.41
Gd: 0.0000 0.0000 0.0000  4 Tl 3.41, 4 Sn 3.41
Sn: 0.2500 0.2500 0.2500  4 Sr 3.41, 4 Gd 3.41

Values from the calculation:
Density of states at the Fermi level   3.512 states/eV/f.u.
Energy   -6.00 eV/atom
Calculated density   7.7 Mg/m³
Space group   F-43m (216)

***

No. 6
The following is a DFT calculation (GGA-PBE) of a relaxed structure of SrGdZnSn.

Cell: 5.4297 5.4297 5.4297 Å, 60.00 60.00 60.00°
Closest atoms and distances in Å follow each position.
Positions (direct):
Sr: 0.0000 0.0000 0.0000  4 Zn 3.32, 4 Sn 3.32
Zn: 0.7500 0.7500 0.7500  4 Sr 3.32, 4 Gd 3.32
Gd: 0.5000 0.5000 0.5000  4 Zn 3.32, 4 Sn 3.32
Sn: 0.2500 0.2500 0.2500  4 Gd 3.32, 4 Sr 3.32

Values from the calculation:
Density of states at the Fermi level   5.546 states/eV/f.u.
Energy   -5.69 eV/atom
Calculated density   6.3 Mg/m³
Space group   F-43m (216)

***

No. 7
The following is a DFT calculation (GGA-PBE) of a relaxed structure of TbGdTmSn.

Cell: 5.4054 5.4054 5.4054 Å, 60.00 60.00 60.00°
Closest atoms and distances in Å follow each position.
Positions (direct):
Gd: 0.0000 0.0000 0.0000  4 Tm 3.31, 4 Sn 3.31
Tm: 0.7500 0.7500 0.7500  4 Gd 3.31, 4 Tb 3.31
Tb: 0.5000 0.5000 0.5000  4 Sn 3.31, 4 Tm 3.31
Sn: 0.2500 0.2500 0.2500  4 Gd 3.31, 4 Tb 3.31

Values from the calculation:
Density of states at the Fermi level   3.900 states/eV/f.u.
Energy   -7.06 eV/atom
Calculated density   9.0 Mg/m³
Space group   F-43m (216)

***

No. 8
The following is a DFT calculation (GGA-PBE) of a relaxed structure of GdTh2Sn.

Cell: 3.4946 3.4946 12.5445 Å, 81.99 81.99 60.00°
Closest atoms and distances in Å follow each position.
Positions (direct):
Gd: 0.5000 0.5000 0.5000  6 Gd 3.49, 6 Th 3.59
Sn: 0.0000 0.0000 0.0000  2 Th 3.22, 6 Sn 3.49
Th: 0.0867 0.0867 0.7398  1 Sn 3.22, 6 Th 3.49, 3 Gd 3.59
Th: 0.9133 0.9133 0.2602  1 Sn 3.22, 6 Th 3.49, 3 Gd 3.59

Values from the calculation:
Density of states at the Fermi level   5.461 states/eV/f.u.
Energy   -8.07 eV/atom
Calculated density   9.4 Mg/m³
E above lowest polymorph   0.508 eV/atom
Space group   R-3m (166)